GGA-PBE InGe2N, relaxed; raw total energy = -37.39 eV for the cell shown; D(E_F) = 0.399 states/eV/cell; formation energy (no corrections) = 401 meV/atom
1.0
5.7169 0.0000 0.0000
0.0000 5.7169 0.0000
2.8585 2.8585 4.8103
Ge N In
4 2 2
direct
0.5349 0.1250 0.2500
0.2151 0.6250 0.2500
0.3750 0.4651 0.7500
0.8750 0.7849 0.7500
0.5000 0.5000 0.0000
0.2500 0.7500 0.5000
0.0000 0.0000 0.0000
0.7500 0.2500 0.5000

---

GGA-PBE HoTl4Br7, relaxed; raw total energy = -39.85 eV for the cell shown; D(E_F) = 0.000 states/eV/cell; formation energy (no corrections) = -1175 meV/atom
1.0
5.2209 0.0000 -1.7051
-1.3522 6.6535 -4.1403
0.9248 1.9903 11.6773
Ho Tl Br
1 4 7
direct
0.0000 0.0000 0.0000
0.4159 0.4696 0.8318
0.5841 0.5304 0.1682
0.3076 0.8677 0.6152
0.6924 0.1323 0.3848
0.1100 0.3196 0.2200
0.8900 0.6804 0.7800
0.9253 0.2015 0.8506
0.0747 0.7985 0.1494
0.7231 0.7754 0.4462
0.5000 0.0000 0.0000
0.2769 0.2246 0.5538

---

GGA-PBE Rb3Y2ScO6, relaxed; raw total energy = -83.81 eV for the cell shown; D(E_F) = 0.000 states/eV/cell; formation energy (no corrections) = -2658 meV/atom
1.0
5.9596 -0.0006 0.0007
-2.9788 5.1617 0.0007
-0.9934 -1.7201 6.5313
Rb Y Sc O
3 2 1 6
direct
0.1653 0.8347 0.5000
0.8347 0.1653 0.5000
0.5000 0.5000 0.5000
0.3333 0.6667 0.0000
0.6667 0.3333 0.0000
0.0000 0.0000 0.0000
0.9423 0.6235 0.8271
0.7387 0.7387 0.1732
0.0577 0.3765 0.1729
0.6235 0.9423 0.8271
0.2613 0.2613 0.8268
0.3765 0.0577 0.1729

---

GGA-PBE Dy2HoTe, relaxed; raw total energy = -39.02 eV for the cell shown; D(E_F) = 9.044 states/eV/cell; formation energy (no corrections) = -647 meV/atom
1.0
3.9316 0.0001 0.0000
-1.9656 6.0398 0.0000
0.0000 0.0000 9.8251
Dy Ho Te
4 2 2
direct
0.3653 0.7308 0.5373
0.6347 0.2692 0.4627
0.3653 0.7308 0.9627
0.6347 0.2692 0.0373
0.9430 0.8858 0.2500
0.0570 0.1142 0.7500
0.7647 0.5295 0.7500
0.2353 0.4705 0.2500

---

GGA-PBE CaNiIr2C, relaxed; formation energy = -0.051 eV/atom; raw total energy = -34.99 eV for the cell shown; D(E_F) = 1.296 states/eV/cell
1.0
4.1225 0.0000 0.0000
0.0000 4.1225 0.0000
0.0000 0.0000 4.1285
Ni Ca Ir C
1 1 2 1
direct
0.0000 0.0000 0.5000
0.5000 0.5000 0.5000
0.0000 0.5000 0.0000
0.5000 0.0000 0.0000
0.0000 0.0000 0.0000

---

GGA-PBE CaAlTe2N, relaxed; raw total energy = -22.20 eV for the cell shown; D(E_F) = 3.997 states/eV/cell; formation energy (no corrections) = -370 meV/atom
1.0
5.8044 0.0000 0.0000
0.0000 5.8044 0.0000
0.0000 0.0000 3.5365
Ca Te Al N
1 2 1 1
direct
0.5000 0.5000 0.5000
0.0000 0.5000 0.0000
0.5000 0.0000 0.0000
0.0000 0.0000 0.0000
0.0000 0.0000 0.5000

---

> Which of these has the highest raw total energy?

CaAlTe2N

---

> D(E_F) of number 4 (Dy2HoTe)?

9.044 states/eV/cell

---

> What is the formula in the second record?

HoTl4Br7